A plane-wave DFT calculation with PBE was carried out for a geometry-optimized BaMn2H8Pb structure.

Properties
Uncorrected energy: -4.126 eV per atom

Cell and atoms, written as CIF:
```
data_BaMn2H8Pb
_cell_length_a 4.5857
_cell_length_b 4.5857
_cell_length_c 6.7900
_cell_angle_alpha 90.00
_cell_angle_beta 90.00
_cell_angle_gamma 120.00
_space_group_name_H-M_alt 'P -3 m 1'
_space_group_IT_number 164
_space_group_name_Hall '-P 3 2"'
loop_
_atom_site_label
_atom_site_type_symbol
_atom_site_fract_x
_atom_site_fract_y
_atom_site_fract_z
_atom_site_occupancy
Ba1 Ba 0.0000 0.0000 0.0000 1
Mn1 Mn 0.3333 0.6667 0.6302 1
H1 H 0.0230 0.5115 0.2725 1
H2 H 0.3333 0.6667 0.8560 1
Pb1 Pb 0.0000 0.0000 0.5000 1
```